The following is a SCAN calculation of a crystal of ZrReOs2 relaxed with PBEsol, from Alexandria.

Calculated values
Formation enthalpy at 0 K ... 0.06 eV per atom
Total magnetization ... 0.000 μB/atom

Lattice parameters (Å, degrees): 2.809 3.872 5.835 90.00 90.00 90.00
Space group Pmm2 (No. 25)
One atom of each set of equivalent atoms:
1 Zr 0.000 0.000 0.000
2 Re 0.500 0.500 0.709
3 Os 0.000 0.000 0.497
4 Os 0.500 0.500 0.269

---

The following is a SCAN calculation of a crystal of Zr2ReOs relaxed with PBEsol, from Alexandria.

Calculated values
Formation enthalpy at 0 K ... -0.55 eV per atom
Total magnetization ... 0.000 μB/atom

Lattice parameters (Å, degrees): 3.248 3.248 6.524 90.00 90.00 90.00
Space group P4/mmm (No. 123)
One atom of each set of equivalent atoms:
1 Zr 0.000 0.000 0.250
2 Re 0.500 0.500 0.000
3 Os 0.500 0.500 0.500

---

The following is a SCAN calculation of a crystal of ZrRe2Os relaxed with PBEsol, from Alexandria.

Calculated values
Formation enthalpy at 0 K ... 0.01 eV per atom
Total magnetization ... 0.000 μB/atom

Lattice parameters (Å, degrees): 6.312 6.312 6.312 90.00 90.00 90.00
Space group F-43m (No. 216)
One atom of each set of equivalent atoms:
1 Zr 0.000 0.000 0.000
2 Re 0.000 0.000 0.500
3 Re 0.250 0.250 0.250
4 Os 0.250 0.250 0.750

---

The following is a SCAN calculation of a crystal of OsRh relaxed with PBEsol, from Alexandria.

Calculated values
Formation enthalpy at 0 K ... 0.08 eV per atom
Total magnetization ... 0.000 μB/atom

Lattice parameters (Å, degrees): 4.307 2.694 4.711 90.00 90.00 90.00
Space group Pmma (No. 51)
One atom of each set of equivalent atoms:
1 Os 0.250 0.000 0.161
2 Rh 0.250 0.500 0.660

---

The following is a SCAN calculation of a crystal of OsRh relaxed with PBEsol, from Alexandria.

Calculated values
Formation enthalpy at 0 K ... 1.22 eV per atom
Total magnetization ... 0.000 μB/atom

Lattice parameters (Å, degrees): 5.452 5.452 5.452 90.00 90.00 90.00
Space group F-43m (No. 216)
One atom of each set of equivalent atoms:
1 Os 0.000 0.000 0.000
2 Rh 0.250 0.250 0.750

---

The following is a SCAN calculation of a crystal of Os5Rh4 relaxed with PBEsol, from Alexandria.

Calculated values
Formation enthalpy at 0 K ... 0.06 eV per atom
Total magnetization ... 0.000 μB/atom

Lattice parameters (Å, degrees): 8.055 8.055 3.809 90.00 90.00 90.00
Space group I4/mmm (No. 139)
One atom of each set of equivalent atoms:
1 Os 0.000 0.000 0.000
2 Os 0.165 0.165 0.500
3 Rh 0.000 0.329 0.000

---

The following is a SCAN calculation of a crystal of OsRh relaxed with PBEsol, from Alexandria.

Calculated values
Formation enthalpy at 0 K ... 0.08 eV per atom
Total magnetization ... 0.000 μB/atom

Lattice parameters (Å, degrees): 2.6796 2.6796 13.2115 90.00 90.00 120.00
Space group R-3m (No. 166, hexagonal axes)
One atom of each set of equivalent atoms:
1 Os 0.0000 0.0000 0.0000
2 Rh 0.0000 0.0000 0.5000

---

The following is a SCAN calculation of a crystal of Os2Rh relaxed with PBEsol, from Alexandria.

Calculated values
Formation enthalpy at 0 K ... 0.03 eV per atom
Total magnetization ... 0.000 μB/atom

Lattice parameters (Å, degrees): 9.825 2.713 6.388 90.00 103.97 90.00
Space group C2/m (No. 12)
One atom of each set of equivalent atoms:
1 Os 0.029 0.000 0.302
2 Os 0.138 0.500 0.025
3 Rh 0.192 0.500 0.638